NdCrIO4 | Alexandria | PBE+U | relaxed; raw total energy = -6.6352 eV/atom; total magnetization = 0.6 Bohr magnetons per cell; space-group type = C2/m, No. 12
1.0
-4.059 1.711 -5.025
0.142 -4.078 -5.292
-5.348 -3.946 1.414
O Cr I Nd
8 2 2 2
direct
0.484 0.484 0.770
0.516 0.516 0.230
0.869 0.501 0.862
0.501 0.869 0.862
0.297 0.297 0.506
0.499 0.131 0.138
0.131 0.499 0.138
0.703 0.703 0.494
0.634 0.634 0.735
0.366 0.366 0.265
0.014 0.014 0.251
0.986 0.986 0.749
0.735 0.735 0.143
0.265 0.265 0.857